VASP calculation (PBE-GGA) on a geometry-optimized GdDyBi4Au2 structure.

```
data_GdDyBi4Au2
_cell_length_a 4.625
_cell_length_b 4.625
_cell_length_c 9.811
_cell_angle_alpha 90.00
_cell_angle_beta 90.00
_cell_angle_gamma 90.00
_space_group_name_H-M_alt 'P 1'
_space_group_IT_number 1
loop_
_space_group_symop_operation_xyz
'x,y,z'
loop_
_atom_site_label
_atom_site_fract_x
_atom_site_fract_y
_atom_site_fract_z
Dy1 0.000 0.000 0.772
Bi1 0.000 0.000 0.199
Bi2 0.500 0.000 0.502
Bi3 0.500 0.500 0.800
Bi4 0.000 0.500 0.502
Au1 0.000 0.500 0.998
Au2 0.500 0.000 0.998
Gd1 0.500 0.500 0.230
```

Computed properties:
The calculation puts the total energy at -0.332 Ry per atom.